## CsHgAsO (GGA-PBE)

Data for a geometry-optimized CsHgAsO structure.

a = 4.304 Å, b = 4.304 Å, c = 12.477 Å
α = 90.00°, β = 90.00°, γ = 90.00°
Fractional positions:
Cs 0.250 0.250 0.149
Cs 0.750 0.750 0.851
Hg 0.250 0.750 0.500
Hg 0.750 0.250 0.500
As 0.250 0.250 0.643
As 0.750 0.750 0.357
O 0.250 0.750 0.000
O 0.750 0.250 0.000

Space group: No. 129
VASP energy, eV per atom: -2.5701